1.
The following is a DFT calculation (PBE) of a relaxed Ta2MoW crystal.

Computed properties:
Total energy ... -12.02 eV/atom
Symmetry ... Fm-3m, No. 225

a b c (Å): 4.5787 4.5787 4.5787
angles (deg): 60.00 60.00 60.00
Last column: nearest neighbours and their distance in Å.
Atoms (fractional coordinates):
Ta (0.2500, 0.2500, 0.2500)  4 Mo 2.80, 4 W 2.80
Ta (0.7500, 0.7500, 0.7500)  4 W 2.80, 4 Mo 2.80
Mo (0.0000, 0.0000, 0.0000)  8 Ta 2.80
W (0.5000, 0.5000, 0.5000)  8 Ta 2.80


2.
The following is a DFT calculation (PBE) of a relaxed Be2TeP crystal.

Computed properties:
ΔE_f (raw) ... 20 kJ/mol of atoms
Symmetry ... P4mm, No. 99

a b c (Å): 3.3018 3.3018 6.8103
angles (deg): 90.00 90.00 90.00
Last column: nearest neighbours and their distance in Å.
Atoms (fractional coordinates):
Be (0.0000, 0.0000, 0.0000)  1 P 2.07
Be (0.5000, 0.5000, 0.2137)  4 P 2.41, 1 Te 2.64
Te (0.5000, 0.5000, 0.8267)  5 Be 2.62-2.64
P (0.0000, 0.0000, 0.3034)  1 Be 2.07


3.
The following is a DFT calculation (PBE) of a relaxed KTl12Sb5 crystal.

Computed properties:
ΔE_f (raw) ... 0 kJ/mol of atoms
Symmetry ... Immm, No. 71

a b c (Å): 9.2699 9.2699 9.2699
angles (deg): 115.10 109.24 104.25
Last column: nearest neighbours and their distance in Å.
Atoms (fractional coordinates):
K (0.0000, 0.0000, 0.0000)  8 Tl 3.49-3.67
Tl (0.1095, 0.8231, 0.2864)  3 Sb 3.16-3.42
Tl (0.2253, 0.3125, 0.5378)  4 Sb 3.34-3.49, 1 Tl 3.73
Tl (0.2253, 0.6875, 0.9128)  4 Sb 3.34-3.49, 1 Tl 3.73
Tl (0.2555, 0.0607, 0.8052)  3 Sb 3.16-3.39, 1 K 3.49
Tl (0.2555, 0.4502, 0.1948)  3 Sb 3.16-3.39, 1 K 3.49
Tl (0.4633, 0.1769, 0.2864)  3 Sb 3.16-3.42
Tl (0.5367, 0.8231, 0.7136)  3 Sb 3.16-3.42
Tl (0.7445, 0.5498, 0.8052)  3 Sb 3.16-3.39, 1 K 3.49
Tl (0.7445, 0.9393, 0.1948)  3 Sb 3.16-3.39, 1 K 3.49
Tl (0.7747, 0.3125, 0.0872)  4 Sb 3.34-3.49, 1 Tl 3.73
Tl (0.7747, 0.6875, 0.4622)  4 Sb 3.34-3.49, 1 Tl 3.73
Tl (0.8905, 0.1769, 0.7136)  3 Sb 3.16-3.42
Sb (0.1320, 0.6320, 0.5000)  1 Sb 3.00, 4 Tl 3.16-3.35
Sb (0.5000, 0.1555, 0.6555)  2 Sb 3.09-3.43, 8 Tl 3.16-3.42
Sb (0.5000, 0.5000, 0.0000)  8 Tl 3.39-3.49, 2 Sb 3.43
Sb (0.5000, 0.8445, 0.3445)  2 Sb 3.09-3.43, 8 Tl 3.16-3.42
Sb (0.8680, 0.3680, 0.5000)  1 Sb 3.00, 4 Tl 3.16-3.35


Number 1: size of the total moment 0.000 μB per atom. Number 2: size of the total moment 0.000 μB per atom. Number 3: size of the total moment 0.000 μB per atom.